DFT (PBE) results for crystalline Tc2RuCl at its relaxed geometry.

Structure (POSCAR):
```
Tc2RuCl
1.0
1.4146 0.8167 8.3988
-1.4146 0.8167 8.3988
0.0000 -1.6335 8.3988
Tc Ru Cl
2 1 1
direct
0.2494 0.2494 0.2494
0.7506 0.7506 0.7506
0.0000 0.0000 0.0000
0.5000 0.5000 0.5000
```

Summary:
Its energy above the most stable polymorph in this dataset is 26 meV/atom. The total magnetic moment comes out at 0.0000 μB/atom. For the energy relative to the elements, uncorrected, the calculation gives 0.308 eV per atom.